1.
# Tl3BiSb

Crystalline Tl3BiSb at its relaxed geometry (PBE, the Alexandria database).

a = 6.8685 Å, b = 8.9814 Å, c = 10.9261 Å
α = 107.91°, β = 90.00°, γ = 90.00°
Fractional coordinates of all 20 atoms:
Tl1 0.9957 0.2044 0.3010
Tl2 0.0043 0.7956 0.6990
Tl3 0.4957 0.7956 0.1990
Tl4 0.5043 0.2044 0.8010
Tl5 0.5038 0.2058 0.3014
Tl6 0.4962 0.7942 0.6986
Tl7 0.0038 0.7942 0.1986
Tl8 0.9962 0.2058 0.8014
Tl9 0.7511 0.4176 0.6039
Tl10 0.2489 0.5824 0.3961
Tl11 0.2511 0.5824 0.8961
Tl12 0.7489 0.4176 0.1039
Bi1 0.7499 0.9851 0.4965
Bi2 0.2501 0.0149 0.5035
Bi3 0.2499 0.0149 0.0035
Bi4 0.7501 0.9851 0.9965
Sb1 0.2493 0.3666 0.0922
Sb2 0.7507 0.6334 0.9078
Sb3 0.7493 0.6334 0.4078
Sb4 0.2507 0.3666 0.5922

Computed properties:
Offset from the most stable computed form, kJ/mol of atoms: 0.00
SG: P2_1/c
Raw formation energy, eV/atom: -0.009
Uncorrected energy, eV per atom: -3.029
Volume, A^3/atom: 32.1
Size of the total moment, μB/f.u.: 0.00

***

2.
# CdGe2Au2

Crystalline CdGe2Au2 at its relaxed geometry (PBE, the Alexandria database).

a = 4.5440 Å, b = 4.5440 Å, c = 6.1101 Å
α = 68.17°, β = 68.17°, γ = 90.00°
Fractional coordinates of all 5 atoms:
Ge1 0.3786 0.3786 0.2427
Ge2 0.6214 0.6214 0.7573
Au1 0.7500 0.2500 0.5000
Au2 0.2500 0.7500 0.5000
Cd1 0.0000 0.0000 0.0000

Computed properties:
Offset from the most stable computed form, kJ/mol of atoms: 4.08
SG: I4/mmm
Uncorrected energy, eV per atom: -3.226
E_form, eV/atom: 0.115
Volume, A^3/atom: 21.5
Size of the total moment, μB/f.u.: 0.00

***

3.
# Y4NiIr3

Crystalline Y4NiIr3 at its relaxed geometry (PBE, the Alexandria database).

a = 3.3314 Å, b = 4.9209 Å, c = 9.8326 Å
α = 90.00°, β = 90.00°, γ = 90.00°
Fractional coordinates of all 8 atoms:
Y1 0.0000 0.0000 0.5000
Y2 0.0000 0.5000 0.7512
Y3 0.0000 0.0000 0.0000
Y4 0.0000 0.5000 0.2488
Ni1 0.5000 0.5000 0.0000
Ir1 0.5000 0.0000 0.2481
Ir2 0.5000 0.5000 0.5000
Ir3 0.5000 0.0000 0.7519

Computed properties:
SG: Pmmm
Uncorrected energy, eV per atom: -7.971
E_form, eV/atom: -0.694
Volume, A^3/atom: 20.1
Size of the total moment, μB/f.u.: 0.00

***

4.
# Na2BeW2

Crystalline Na2BeW2 at its relaxed geometry (PBE, the Alexandria database).

a = 9.1598 Å, b = 9.1598 Å, c = 2.6034 Å
α = 90.00°, β = 90.00°, γ = 90.00°
Fractional coordinates of all 10 atoms:
Na1 0.3006 0.8006 0.0000
Na2 0.8006 0.6994 0.0000
Na3 0.6994 0.1994 0.0000
Na4 0.1994 0.3006 0.0000
W1 0.0913 0.5913 0.5000
W2 0.5913 0.9087 0.5000
W3 0.9087 0.4087 0.5000
W4 0.4087 0.0913 0.5000
Be1 0.0000 0.0000 0.0000
Be2 0.5000 0.5000 0.0000

Computed properties:
Offset from the most stable computed form, kJ/mol of atoms: 24.05
SG: P4/mbm
Uncorrected energy, eV per atom: -4.893
E_form, eV/atom: 1.561
Volume, A^3/atom: 21.8
Size of the total moment, μB/f.u.: 0.00

***

5.
# LiAg2As

Crystalline LiAg2As at its relaxed geometry (PBE, the Alexandria database).

a = 4.5094 Å, b = 4.5094 Å, c = 4.7780 Å
α = 61.84°, β = 61.84°, γ = 60.00°
Fractional coordinates of all 4 atoms:
Li1 0.7661 0.7661 0.7017
Ag1 0.0135 0.0135 0.9594
Ag2 0.2469 0.2469 0.2592
As1 0.4734 0.4734 0.5797

Computed properties:
SG: R3m
Uncorrected energy, eV per atom: -3.205
E_form, eV/atom: -0.138
Volume, A^3/atom: 17.6
Size of the total moment, μB/f.u.: 0.00

***

6.
# TePbAu2

Crystalline TePbAu2 at its relaxed geometry (PBE, the Alexandria database).

a = 3.9673 Å, b = 3.9673 Å, c = 6.1699 Å
α = 90.00°, β = 90.00°, γ = 90.01°
Fractional coordinates of all 4 atoms:
Au1 0.0000 0.0000 0.9999
Au2 0.0000 0.0000 0.5001
Pb1 0.5000 0.5000 0.2500
Te1 0.5000 0.5000 0.7500

Computed properties:
Offset from the most stable computed form, kJ/mol of atoms: 11.95
SG: P4/mmm
Raw formation energy, eV/atom: 0.076
Uncorrected energy, eV per atom: -3.275
Volume, A^3/atom: 24.3
Size of the total moment, μB/f.u.: 0.00

***

7.
# Rb2BaCuBr5

Crystalline Rb2BaCuBr5 at its relaxed geometry (PBE, the Alexandria database).

a = 4.5884 Å, b = 10.4413 Å, c = 14.6235 Å
α = 90.00°, β = 90.00°, γ = 102.69°
Each line ends with the local moment (μB).
Fractional coordinates of all 18 atoms:
Rb1 0.8845 0.7690 0.8495  0.00
Rb2 0.1110 0.2220 0.6888  0.00
Rb3 0.1155 0.2310 0.3495  0.00
Rb4 0.8890 0.7780 0.1888  0.00
Ba1 0.8127 0.6254 0.5347  0.00
Ba2 0.1873 0.3746 0.0347  0.00
Cu1 0.5557 0.1114 0.9114  0.08
Cu2 0.4443 0.8886 0.4114  0.08
Br1 0.3432 0.6864 0.0193  0.00
Br2 0.6786 0.3572 0.8770  0.00
Br3 0.4970 0.9941 0.7668  0.01
Br4 0.3001 0.6002 0.6884  0.00
Br5 0.9675 0.9351 0.4881  0.01
Br6 0.6568 0.3136 0.5193  0.00
Br7 0.3214 0.6428 0.3770  0.00
Br8 0.5030 0.0059 0.2668  0.01
Br9 0.6999 0.3998 0.1884  0.00
Br10 0.0325 0.0649 0.9881  0.01

Computed properties:
SG: Cmc2_1
Raw formation energy, eV/atom: -1.549
Uncorrected energy, eV per atom: -3.362
Volume, A^3/atom: 38.0
Size of the total moment, μB/f.u.: 0.10

***

8.
# TaSi2Pt

Crystalline TaSi2Pt at its relaxed geometry (PBE, the Alexandria database).

a = 2.9116 Å, b = 2.9116 Å, c = 7.5009 Å
α = 90.00°, β = 90.00°, γ = 105.29°
Fractional coordinates of all 4 atoms:
Pt1 0.5000 0.5000 0.7500
Si1 0.0000 0.0000 0.9918
Si2 0.0000 0.0000 0.5082
Ta1 0.5000 0.5000 0.2500

Computed properties:
SG: Cmmm
Raw formation energy, eV/atom: -0.200
Uncorrected energy, eV per atom: -7.385
Volume, A^3/atom: 15.3
Size of the total moment, μB/f.u.: 0.00

***

9.
# BaTlBr5

Crystalline BaTlBr5 at its relaxed geometry (PBE, the Alexandria database).

a = 8.0904 Å, b = 8.0897 Å, c = 11.8552 Å
α = 110.10°, β = 110.09°, γ = 85.25°
Each line ends with the local moment (μB).
Fractional coordinates of all 14 atoms:
Ba1 0.5000 0.0000 0.0000  0.00
Ba2 0.5000 0.0000 0.5000  0.00
Tl1 0.9189 0.5811 0.2500  0.00
Tl2 0.0811 0.4189 0.7500  0.00
Br1 0.7691 0.6736 0.0467  0.00
Br2 0.2635 0.6254 0.3242  0.00
Br3 0.4107 0.0890 0.2499  0.07
Br4 0.8265 0.7311 0.4533  0.00
Br5 0.1735 0.2689 0.5467  0.00
Br6 0.8745 0.2366 0.1759  0.00
Br7 0.1255 0.7634 0.8241  0.00
Br8 0.5893 0.9110 0.7501  0.07
Br9 0.7365 0.3746 0.6758  0.00
Br10 0.2309 0.3264 0.9533  0.00

Computed properties:
SG: C2/c
Raw formation energy, eV/atom: -1.146
Uncorrected energy, eV per atom: -2.953
Volume, A^3/atom: 48.8
Size of the total moment, μB/f.u.: 0.12

***

10.
# Er4Se3N

Crystalline Er4Se3N at its relaxed geometry (PBE, the Alexandria database).

a = 5.5474 Å, b = 7.5100 Å, c = 9.5835 Å
α = 90.00°, β = 90.00°, γ = 90.00°
Fractional coordinates of all 16 atoms:
Er1 0.0735 0.8536 0.0000
Er2 0.5895 0.1371 0.0000
Er3 0.0640 0.2513 0.2143
Er4 0.5640 0.7487 0.2857
Er5 0.0895 0.8629 0.5000
Er6 0.5735 0.1464 0.5000
Er7 0.5640 0.7487 0.7143
Er8 0.0640 0.2513 0.7857
Se1 0.5771 0.7627 0.0000
Se2 0.0658 0.6472 0.2613
Se3 0.5658 0.3528 0.2387
Se4 0.0771 0.2373 0.5000
Se5 0.5658 0.3528 0.7613
Se6 0.0658 0.6472 0.7387
N1 0.0154 0.1466 0.0000
N2 0.5154 0.8534 0.5000

Computed properties:
SG: Pmn2_1
Raw formation energy, eV/atom: -1.517
Uncorrected energy, eV per atom: -6.145
Volume, A^3/atom: 25.0
Size of the total moment, μB/f.u.: 0.00

***

11.
# PrTm5Tl3

Crystalline PrTm5Tl3 at its relaxed geometry (PBE, the Alexandria database).

a = 6.7026 Å, b = 9.3169 Å, c = 9.3153 Å
α = 120.01°, β = 90.00°, γ = 90.00°
Fractional coordinates of all 18 atoms:
Pr1 0.0000 0.0000 0.0000
Pr2 0.5000 0.0000 0.0000
Tm1 0.0000 0.6667 0.3334
Tm2 0.5000 0.3333 0.6666
Tm3 0.0000 0.3333 0.6666
Tm4 0.5000 0.6667 0.3334
Tm5 0.7500 0.6702 0.6703
Tm6 0.7500 0.9999 0.3297
Tm7 0.7500 0.3297 0.0000
Tm8 0.2500 0.3298 0.3297
Tm9 0.2500 0.0001 0.6703
Tm10 0.2500 0.6703 0.0000
Tl1 0.7500 0.3419 0.3419
Tl2 0.7500 0.0000 0.6581
Tl3 0.7500 0.6580 0.0000
Tl4 0.2500 0.6581 0.6581
Tl5 0.2500 0.0000 0.3419
Tl6 0.2500 0.3420 0.0000

Computed properties:
SG: P6_3/mcm
Uncorrected energy, eV per atom: -4.047
E_form, eV/atom: -0.243
Volume, A^3/atom: 28.0
Size of the total moment, μB/f.u.: 0.00

***

12.
# BaNa2Zn2S4

Crystalline BaNa2Zn2S4 at its relaxed geometry (PBE, the Alexandria database).

a = 4.1166 Å, b = 10.6639 Å, c = 8.4677 Å
α = 138.23°, β = 104.07°, γ = 90.00°
Fractional coordinates of all 9 atoms:
Ba1 0.0000 0.0000 0.0000
Na1 0.1593 0.5466 0.3186
Na2 0.8407 0.4534 0.6814
Zn1 0.6469 0.9325 0.2938
Zn2 0.3531 0.0675 0.7062
S1 0.2551 0.1506 0.5102
S2 0.7449 0.8494 0.4898
S3 0.4308 0.7116 0.8617
S4 0.5692 0.2884 0.1383

Computed properties:
SG: C2/m
Raw formation energy, eV/atom: -1.132
Uncorrected energy, eV per atom: -3.756
Volume, A^3/atom: 25.6
Size of the total moment, μB/f.u.: 0.00

***

The highest size of the total moment belongs to which entry? BaTlBr5

***

Repeat the second record exactly.
# CdGe2Au2

Crystalline CdGe2Au2 at its relaxed geometry (PBE, the Alexandria database).

a = 4.5440 Å, b = 4.5440 Å, c = 6.1101 Å
α = 68.17°, β = 68.17°, γ = 90.00°
Fractional coordinates of all 5 atoms:
Ge1 0.3786 0.3786 0.2427
Ge2 0.6214 0.6214 0.7573
Au1 0.7500 0.2500 0.5000
Au2 0.2500 0.7500 0.5000
Cd1 0.0000 0.0000 0.0000

Computed properties:
Offset from the most stable computed form, kJ/mol of atoms: 4.08
SG: I4/mmm
Uncorrected energy, eV per atom: -3.226
E_form, eV/atom: 0.115
Volume, A^3/atom: 21.5
Size of the total moment, μB/f.u.: 0.00

***

Among the records above, which one has the lowest uncorrected energy? Y4NiIr3